Entry 1:
# PBE NdSmBr2, optimized geometry
data_NdSmBr2
_space_group_name_H-M_alt 'P 1'
_space_group_IT_number 1
_cell_length_a 3.683
_cell_length_b 3.683
_cell_length_c 9.571
_cell_angle_alpha 78.91
_cell_angle_beta 78.91
_cell_angle_gamma 60.00
loop_
_space_group_symop_operation_xyz
'x,y,z'
loop_
_atom_site_label
_atom_site_type_symbol
_atom_site_fract_x
_atom_site_fract_y
_atom_site_fract_z
Nd1 Nd 0.501 0.501 0.496
Sm1 Sm 0.665 0.665 0.004
Br1 Br 0.082 0.082 0.753
Br2 Br 0.251 0.251 0.248
# Calculated density ... 6.9 g/cm³
# Symmetry ... No. 160
# Electronic total energy ... -17.31 eV/cell
# Total magnetization ... 0.0 μB/f.u.

Entry 2:
# PBE K2PW, optimized geometry
data_K2PW
_space_group_name_H-M_alt 'P 1'
_space_group_IT_number 1
_cell_length_a 3.374
_cell_length_b 3.374
_cell_length_c 10.294
_cell_angle_alpha 90.00
_cell_angle_beta 90.00
_cell_angle_gamma 90.00
loop_
_space_group_symop_operation_xyz
'x,y,z'
loop_
_atom_site_label
_atom_site_type_symbol
_atom_site_fract_x
_atom_site_fract_y
_atom_site_fract_z
K1 K 0.000 0.000 0.919
K2 K 0.500 0.500 0.333
P1 P 0.000 0.000 0.596
W1 W 0.500 0.500 0.652
# Calculated density ... 4.2 g/cm³
# Symmetry ... No. 99
# ΔH_f (0 K) ... 0.35 eV/atom
# Total magnetization ... 0.0 μB/f.u.